A relaxed structure of SmGdSn2Ir, computed with PBE.

abc: 5.995 5.995 11.034
angles: 113.95 113.95 44.58
Fractional coordinates of all 10 atoms:
Sm  0.189  0.189  0.127
Sm  0.811  0.811  0.873
Gd  0.000  0.000  0.330
Gd  0.000  0.000  0.670
Sn  0.345  0.345  0.452
Sn  0.474  0.474  0.119
Sn  0.526  0.526  0.881
Sn  0.655  0.655  0.548
Ir  0.273  0.273  0.672
Ir  0.727  0.727  0.328

Computed properties:
density = 9.79 g/cm³
raw total energy = -6.034 eV/atom